The following is a DFT calculation (GGA-PBE) of an optimized crystal structure of DyErCo10.

```
DyErCo10
1.0
-3.342 -0.543 -2.028
2.603 -1.366 -3.923
-0.281 -8.080 2.627
Co Er Dy
10 1 1
Cartesian
-1.229 -6.666 -0.029 Co
1.254 -2.048 -1.518 Co
-1.089 -2.641 -1.338 Co
0.209 -3.323 -3.295 Co
-0.094 -2.701 0.878 Co
-0.369 -0.955 -2.976 Co
-0.187 -5.379 1.749 Co
1.068 -7.398 0.222 Co
0.069 -7.348 -1.987 Co
-1.812 -4.312 0.299 Co
1.161 -4.723 -0.648 Er
0.000 0.000 0.000 Dy
```

## Properties
The spin magnetization is 14.32 μB per cell. The space-group type is No. 47. As for the formation energy from the elements: -0.118 eV/atom.